Material: VSiO5
Method: DFT, GGA+U
State: relaxed

Cell lengths 11.1701, 5.1831, 6.4608 Å; angles 90.00, 90.00, 90.00 degrees
Space group Pnma (No. 62)
Unique sites:
V1 0.1575 0.2500 0.0299 (multiplicity 4)
Si1 0.0545 0.7500 0.3454 (multiplicity 4)
O1 0.0000 0.0000 0.5000 (multiplicity 4)
O2 0.0813 0.2500 0.7940 (multiplicity 4)
O3 0.1164 0.5162 0.1707 (multiplicity 8)
O4 0.1873 0.7500 0.4900 (multiplicity 4)

Calculated values
- E: -7.23 eV/atom